1) First-principles (PBE) data for a geometry-optimized Sc3IrRu structure, as listed in the Alexandria database.

Calculated values
N(E_F) ... 3.8 states/eV/f.u.

Lattice parameters (Å, degrees): 4.8154 4.8154 4.8154 90.00 90.00 90.00
Fractional positions:
1 Sc 0.0000 0.0000 0.5000
2 Sc 0.0000 0.5000 0.0000
3 Sc 0.5000 0.0000 0.0000
4 Ir 0.5000 0.5000 0.5000
5 Ru 0.0000 0.0000 0.0000

2) First-principles (PBE) data for a geometry-optimized Sc3IrRu structure, as listed in the Alexandria database.

Calculated values
N(E_F) ... 4.2 states/eV/f.u.

Lattice parameters (Å, degrees): 4.9065 4.9065 4.9065 90.00 90.00 90.00
Fractional positions:
1 Sc 0.0000 0.0000 0.5000
2 Sc 0.0000 0.5000 0.0000
3 Sc 0.5000 0.0000 0.0000
4 Ir 0.0000 0.0000 0.0000
5 Ru 0.5000 0.5000 0.5000

The winner here is 1), beating the second structure by 22 meV per atom.

1) First-principles (PBE) data for a geometry-optimized ScIr2Ru2 structure, as listed in the Alexandria database.

Calculated values
N(E_F) ... 6.1 states/eV/f.u.

Lattice parameters (Å, degrees): 7.5448 7.5448 2.7803 90.00 90.00 90.00
Fractional positions:
1 Sc 0.0000 0.0000 0.0000
2 Sc 0.5000 0.5000 0.0000
3 Ir 0.1776 0.3224 0.5000
4 Ir 0.3224 0.8224 0.5000
5 Ir 0.6776 0.1776 0.5000
6 Ir 0.8224 0.6776 0.5000
7 Ru 0.1203 0.6203 0.0000
8 Ru 0.3797 0.1203 0.0000
9 Ru 0.6203 0.8797 0.0000
10 Ru 0.8797 0.3797 0.0000

2) First-principles (PBE) data for a geometry-optimized ScIr2Ru2 structure, as listed in the Alexandria database.

Calculated values
N(E_F) ... 6.6 states/eV/f.u.

Lattice parameters (Å, degrees): 7.5359 7.5359 2.7954 90.00 90.00 90.00
Fractional positions:
1 Sc 0.0000 0.0000 0.0000
2 Sc 0.5000 0.5000 0.0000
3 Ir 0.1230 0.3770 0.0000
4 Ir 0.3770 0.8770 0.0000
5 Ir 0.6230 0.1230 0.0000
6 Ir 0.8770 0.6230 0.0000
7 Ru 0.1757 0.6757 0.5000
8 Ru 0.3243 0.1757 0.5000
9 Ru 0.6757 0.8243 0.5000
10 Ru 0.8243 0.3243 0.5000

The winner here is 1), beating the second structure by 29 meV per atom.

1) First-principles (PBE) data for a geometry-optimized Ir3RuSe structure, as listed in the Alexandria database.

Calculated values
N(E_F) ... 8.1 states/eV/f.u.

Lattice parameters (Å, degrees): 4.5562 4.5562 4.5562 90.00 90.00 90.00
Fractional positions:
1 Ir 0.0000 0.0000 0.5000
2 Ir 0.0000 0.5000 0.0000
3 Ir 0.5000 0.0000 0.0000
4 Ru 0.5000 0.5000 0.5000
5 Se 0.0000 0.0000 0.0000

2) First-principles (PBE) data for a geometry-optimized Ir3RuSe structure, as listed in the Alexandria database.

Calculated values
N(E_F) ... 8.7 states/eV/f.u.

Lattice parameters (Å, degrees): 4.7053 4.7053 4.7053 90.00 90.00 90.00
Fractional positions:
1 Ir 0.0000 0.0000 0.5000
2 Ir 0.0000 0.5000 0.0000
3 Ir 0.5000 0.0000 0.0000
4 Ru 0.0000 0.0000 0.0000
5 Se 0.5000 0.5000 0.5000

The winner here is 1), beating the second structure by 297 meV per atom.

1) First-principles (PBE) data for a geometry-optimized SiIrRu structure, as listed in the Alexandria database.

Calculated values
N(E_F) ... 2.9 states/eV/f.u.

Lattice parameters (Å, degrees): 5.2833 5.2833 5.2833 148.39 148.39 45.32
Fractional positions:
1 Si 0.0000 0.0000 0.0000
2 Ir 0.3491 0.3491 0.0000
3 Ru 0.6429 0.6429 0.0000

2) First-principles (PBE) data for a geometry-optimized SiIrRu structure, as listed in the Alexandria database.

Calculated values
N(E_F) ... 3.2 states/eV/f.u.

Lattice parameters (Å, degrees): 7.9744 3.9807 5.6703 90.00 90.00 90.00
Fractional positions:
1 Si 0.1314 0.2500 0.2286
2 Si 0.3686 0.7500 0.7286
3 Si 0.6314 0.2500 0.2714
4 Si 0.8686 0.7500 0.7714
5 Ir 0.1316 0.7500 0.9876
6 Ir 0.3684 0.2500 0.4876
7 Ir 0.6316 0.7500 0.5124
8 Ir 0.8684 0.2500 0.0124
9 Ru 0.1089 0.7500 0.4887
10 Ru 0.3911 0.2500 0.9887
11 Ru 0.6089 0.7500 0.0113
12 Ru 0.8911 0.2500 0.5113

3) First-principles (PBE) data for a geometry-optimized SiIrRu structure, as listed in the Alexandria database.

Calculated values
N(E_F) ... 3.6 states/eV/f.u.

Lattice parameters (Å, degrees): 3.8177 3.8177 5.9443 90.00 90.00 90.00
Fractional positions:
1 Si 0.2500 0.2500 0.2398
2 Si 0.7500 0.7500 0.7602
3 Ir 0.2500 0.7500 0.5000
4 Ir 0.7500 0.2500 0.5000
5 Ru 0.2500 0.2500 0.8513
6 Ru 0.7500 0.7500 0.1487

The winner here is 1), beating the second structure by 65 meV per atom.

1) First-principles (PBE) data for a geometry-optimized SiIrRu structure, as listed in the Alexandria database.

Calculated values
N(E_F) ... 2.7 states/eV/f.u.

Lattice parameters (Å, degrees): 2.7922 2.7922 6.0773 90.00 90.00 120.00
Fractional positions:
1 Si 0.0000 0.0000 0.0000
2 Ir 0.6667 0.3333 0.3115
3 Ru 0.3333 0.6667 0.6953

2) First-principles (PBE) data for a geometry-optimized SiIrRu structure, as listed in the Alexandria database.

Calculated values
N(E_F) ... 2.9 states/eV/f.u.

Lattice parameters (Å, degrees): 6.6569 6.3713 2.7887 83.45 71.96 24.59
Fractional positions:
1 Si 0.0000 0.0000 0.0000
2 Ir 0.3456 0.3456 0.6544
3 Ru 0.6483 0.6483 0.3517

The winner here is 1), beating the second structure by 264 meV per atom.

1) First-principles (PBE) data for a geometry-optimized SiIrRu3 structure, as listed in the Alexandria database.

Calculated values
N(E_F) ... 6.7 states/eV/f.u.

Lattice parameters (Å, degrees): 4.3031 4.3031 4.3031 90.00 90.00 90.00
Fractional positions:
1 Si 0.0000 0.0000 0.0000
2 Ir 0.5000 0.5000 0.5000
3 Ru 0.0000 0.0000 0.5000
4 Ru 0.0000 0.5000 0.0000
5 Ru 0.5000 0.0000 0.0000

2) First-principles (PBE) data for a geometry-optimized SiIrRu3 structure, as listed in the Alexandria database.

Calculated values
N(E_F) ... 5.5 states/eV/f.u.

Lattice parameters (Å, degrees): 4.6733 4.6733 4.6733 90.00 90.00 90.00
Fractional positions:
1 Si 0.0000 0.0000 0.0000
2 Ir 0.5000 0.5000 0.5000
3 Ru 0.0000 0.5000 0.5000
4 Ru 0.5000 0.0000 0.5000
5 Ru 0.5000 0.5000 0.0000

The winner here is 1), beating the second structure by 890 meV per atom.

1) First-principles (PBE) data for a geometry-optimized Si2Ir2Ru structure, as listed in the Alexandria database.

Calculated values
N(E_F) ... 3.8 states/eV/f.u.

Lattice parameters (Å, degrees): 7.0343 7.0343 2.7710 90.00 90.00 90.00
Fractional positions:
1 Si 0.1532 0.3468 0.0000
2 Si 0.3468 0.8468 0.0000
3 Si 0.6532 0.1532 0.0000
4 Si 0.8468 0.6532 0.0000
5 Ir 0.1460 0.6460 0.5000
6 Ir 0.3540 0.1460 0.5000
7 Ir 0.6460 0.8540 0.5000
8 Ir 0.8540 0.3540 0.5000
9 Ru 0.0000 0.0000 0.0000
10 Ru 0.5000 0.5000 0.0000

2) First-principles (PBE) data for a geometry-optimized Si2Ir2Ru structure, as listed in the Alexandria database.

Calculated values
N(E_F) ... 3.5 states/eV/f.u.

Lattice parameters (Å, degrees): 4.0001 4.0001 5.1700 90.00 90.00 120.00
Fractional positions:
1 Si 0.3333 0.6667 0.3014
2 Si 0.6667 0.3333 0.6986
3 Ir 0.3333 0.6667 0.8277
4 Ir 0.6667 0.3333 0.1723
5 Ru 0.0000 0.0000 0.5000

The winner here is 2), beating the second structure by 184 meV per atom.

1) First-principles (PBE) data for a geometry-optimized SiIr2Ru2 structure, as listed in the Alexandria database.

Calculated values
N(E_F) ... 7.4 states/eV/f.u.

Lattice parameters (Å, degrees): 7.4864 7.4864 2.7559 90.00 90.00 90.00
Fractional positions:
1 Si 0.0000 0.0000 0.0000
2 Si 0.5000 0.5000 0.0000
3 Ir 0.1246 0.3754 0.5000
4 Ir 0.3754 0.8754 0.5000
5 Ir 0.6246 0.1246 0.5000
6 Ir 0.8754 0.6246 0.5000
7 Ru 0.1726 0.6726 0.0000
8 Ru 0.3274 0.1726 0.0000
9 Ru 0.6726 0.8274 0.0000
10 Ru 0.8274 0.3274 0.0000

2) First-principles (PBE) data for a geometry-optimized SiIr2Ru2 structure, as listed in the Alexandria database.

Calculated values
N(E_F) ... 4.6 states/eV/f.u.

Lattice parameters (Å, degrees): 6.8765 6.8765 6.8765 150.29 150.29 42.51
Fractional positions:
1 Si 0.0000 0.0000 0.0000
2 Ir 0.2500 0.7500 0.5000
3 Ir 0.7500 0.2500 0.5000
4 Ru 0.4030 0.4030 0.0000
5 Ru 0.5970 0.5970 0.0000

3) First-principles (PBE) data for a geometry-optimized SiIr2Ru2 structure, as listed in the Alexandria database.

Calculated values
N(E_F) ... 4.1 states/eV/f.u.

Lattice parameters (Å, degrees): 6.9991 6.9991 6.9991 151.44 151.44 40.83
Fractional positions:
1 Si 0.0000 0.0000 0.0000
2 Ir 0.4036 0.4036 0.0000
3 Ir 0.5964 0.5964 0.0000
4 Ru 0.2500 0.7500 0.5000
5 Ru 0.7500 0.2500 0.5000

The winner here is 1), beating the second structure by 59 meV per atom.

1) First-principles (PBE) data for a geometry-optimized YSi2IrRu structure, as listed in the Alexandria database.

Calculated values
N(E_F) ... 6.7 states/eV/f.u.

Lattice parameters (Å, degrees): 4.5091 4.5091 5.3732 90.00 90.00 90.00
Fractional positions:
1 Y 0.0000 0.0000 0.0000
2 Si 0.0000 0.5000 0.5000
3 Si 0.5000 0.0000 0.5000
4 Ir 0.0000 0.0000 0.5000
5 Ru 0.5000 0.5000 0.0000

2) First-principles (PBE) data for a geometry-optimized YSi2IrRu structure, as listed in the Alexandria database.

Calculated values
N(E_F) ... 1.9 states/eV/f.u.

Lattice parameters (Å, degrees): 5.6901 5.6901 5.6901 137.38 137.38 61.85
Fractional positions:
1 Y 0.0000 0.0000 0.0000
2 Si 0.3732 0.3732 0.0000
3 Si 0.6268 0.6268 0.0000
4 Ir 0.7500 0.2500 0.5000
5 Ru 0.2500 0.7500 0.5000

The winner here is 2), beating the second structure by 1449 meV per atom.

1) First-principles (PBE) data for a geometry-optimized SmIrRu structure, as listed in the Alexandria database.

Calculated values
N(E_F) ... 3.2 states/eV/f.u.

Lattice parameters (Å, degrees): 8.9712 5.3353 5.3353 60.63 90.00 90.00
Fractional positions:
1 Sm 0.1812 0.0000 0.0000
2 Sm 0.3166 0.3329 0.3329
3 Sm 0.6834 0.3329 0.3329
4 Sm 0.8188 0.0000 0.0000
5 Ir 0.0000 0.0068 0.4992
6 Ir 0.0000 0.4992 0.0068
7 Ir 0.2496 0.6655 0.6655
8 Ir 0.7504 0.6655 0.6655
9 Ru 0.0000 0.4971 0.4971
10 Ru 0.5000 0.3324 0.8342
11 Ru 0.5000 0.8342 0.3324
12 Ru 0.5000 0.8434 0.8434

2) First-principles (PBE) data for a geometry-optimized SmIrRu structure, as listed in the Alexandria database.

Calculated values
N(E_F) ... 3.1 states/eV/f.u.

Lattice parameters (Å, degrees): 5.4241 5.4241 5.4241 122.22 119.34 88.67
Fractional positions:
1 Sm 0.3733 0.1233 0.2500
2 Sm 0.6267 0.8767 0.7500
3 Ir 0.0000 0.5000 0.5000
4 Ir 0.5000 0.5000 0.0000
5 Ru 0.0000 0.0000 0.5000
6 Ru 0.0000 0.5000 0.0000

The winner here is 2), beating the second structure by 6 meV per atom.

1) First-principles (PBE) data for a geometry-optimized SrIrRu structure, as listed in the Alexandria database.

Calculated values
N(E_F) ... 3.1 states/eV/f.u.

Lattice parameters (Å, degrees): 4.1779 4.1779 4.8378 90.00 90.00 120.00
Fractional positions:
1 Sr 0.0000 0.0000 0.0000
2 Ir 0.6667 0.3333 0.5000
3 Ru 0.3333 0.6667 0.5000

2) First-principles (PBE) data for a geometry-optimized SrIrRu structure, as listed in the Alexandria database.

Calculated values
N(E_F) ... 6.0 states/eV/f.u.

Lattice parameters (Å, degrees): 4.6178 4.6178 4.6178 60.00 60.00 60.00
Fractional positions:
1 Sr 0.0000 0.0000 0.0000
2 Ir 0.2500 0.2500 0.2500
3 Ru 0.7500 0.7500 0.7500

The winner here is 1), beating the second structure by 1626 meV per atom.